Entry from the Alexandria database: a geometry-optimized NaGa2SnSe6 structure (PBE).

Properties
Formation energy from raw total energies, eV per atom: -0.47
DOS(E_F), states/eV per atom: 0.09
Space-group type: No. 15

a = 9.4883 Å, b = 9.4883 Å, c = 7.6209 Å
α = 108.98°, β = 108.98°, γ = 87.71°
Sites, in units of the cell vectors:
Na1 0.1409 0.8591 0.7500
Na2 0.8591 0.1409 0.2500
Ga1 0.2406 0.3925 0.8623
Ga2 0.3925 0.2406 0.3623
Ga3 0.6075 0.7594 0.6377
Ga4 0.7594 0.6075 0.1377
Sn1 0.1752 0.8248 0.2500
Sn2 0.8248 0.1752 0.7500
Se1 0.0648 0.1751 0.6545
Se2 0.1091 0.6204 0.9119
Se3 0.1751 0.0648 0.1545
Se4 0.3260 0.4431 0.6060
Se5 0.3796 0.8909 0.5881
Se6 0.4431 0.3260 0.1060
Se7 0.5569 0.6740 0.8940
Se8 0.6204 0.1091 0.4119
Se9 0.6740 0.5569 0.3940
Se10 0.8249 0.9352 0.8455
Se11 0.8909 0.3796 0.0881
Se12 0.9352 0.8249 0.3455